(1)
Ca2AlZn2Pd5: optimized geometry, PBE-GGA.

Properties
The size of the total moment is 0.0 μB/f.u. Its formation energy is -15.7 kcal/mol of atoms. The value obtained for the total energy is -86.1 eV per cell. The calculation puts the density of states at the Fermi level at 0.31 states/eV/atom.

a b c (Å): 3.510 10.017 10.017
angles (deg): 90.00 90.00 90.00
Atoms (fractional coordinates):
Pd 0.500 0.439 0.305
Pd 0.500 0.695 0.439
Pd 0.500 0.805 0.939
Pd 0.500 0.305 0.561
Pd 0.500 0.561 0.695
Pd 0.500 0.939 0.195
Pd 0.500 0.500 0.000
Pd 0.500 0.061 0.805
Pd 0.500 0.000 0.500
Pd 0.500 0.195 0.061
Ca 0.000 0.173 0.327
Ca 0.000 0.673 0.173
Ca 0.000 0.827 0.673
Ca 0.000 0.327 0.827
Zn 0.000 0.872 0.372
Zn 0.000 0.128 0.628
Zn 0.000 0.372 0.128
Zn 0.000 0.628 0.872
Al 0.000 0.500 0.500
Al 0.000 0.000 0.000



(2)
NiGe3I: optimized geometry, PBE-GGA.

Properties
The size of the total moment is 0.6 μB/f.u. The value obtained for the total energy is -12.9 eV per cell. The calculation puts the density of states at the Fermi level at 1.38 states/eV/atom. Its uncorrected formation energy is 1.653 eV per atom.

a b c (Å): 5.418 5.418 5.418
angles (deg): 90.00 90.00 90.00
Each line ends with the local moment (μB).
Atoms (fractional coordinates):
Ni 0.500 0.500 0.500  0.67
Ge 0.500 0.000 0.000  0.00
Ge 0.000 0.000 0.500  0.00
Ge 0.000 0.500 0.000  -0.02
I 0.000 0.000 0.000  0.00



(3)
TmTiIrOs: optimized geometry, PBE-GGA.

Properties
The size of the total moment is 0.0 μB/f.u. Its formation energy is -13.3 kcal/mol of atoms. The value obtained for the total energy is -34.8 eV per cell. The calculation puts the density of states at the Fermi level at 0.33 states/eV/atom.

a b c (Å): 4.574 4.574 4.574
angles (deg): 60.00 60.00 60.00
Atoms (fractional coordinates):
Tm 0.750 0.750 0.750
Os 0.000 0.000 0.000
Ir 0.500 0.500 0.500
Ti 0.250 0.250 0.250



What did the first record say?
Ca2AlZn2Pd5: optimized geometry, PBE-GGA.

Properties
The size of the total moment is 0.0 μB/f.u. Its formation energy is -15.7 kcal/mol of atoms. The value obtained for the total energy is -86.1 eV per cell. The calculation puts the density of states at the Fermi level at 0.31 states/eV/atom.

a b c (Å): 3.510 10.017 10.017
angles (deg): 90.00 90.00 90.00
Atoms (fractional coordinates):
Pd 0.500 0.439 0.305
Pd 0.500 0.695 0.439
Pd 0.500 0.805 0.939
Pd 0.500 0.305 0.561
Pd 0.500 0.561 0.695
Pd 0.500 0.939 0.195
Pd 0.500 0.500 0.000
Pd 0.500 0.061 0.805
Pd 0.500 0.000 0.500
Pd 0.500 0.195 0.061
Ca 0.000 0.173 0.327
Ca 0.000 0.673 0.173
Ca 0.000 0.827 0.673
Ca 0.000 0.327 0.827
Zn 0.000 0.872 0.372
Zn 0.000 0.128 0.628
Zn 0.000 0.372 0.128
Zn 0.000 0.628 0.872
Al 0.000 0.500 0.500
Al 0.000 0.000 0.000